The following is a DFT calculation (PBE) of a relaxed Er8Tl4P3Se crystal.

CIF file:
```
data_Er8Tl4P3Se
_cell_length_a 7.768
_cell_length_b 9.060
_cell_length_c 7.761
_cell_angle_alpha 115.28
_cell_angle_beta 120.03
_cell_angle_gamma 90.00
_space_group_name_H-M_alt 'P 1'
_space_group_IT_number 1
loop_
_space_group_symop_operation_xyz
'x,y,z'
loop_
_atom_site_label
_atom_site_type_symbol
_atom_site_fract_x
_atom_site_fract_y
_atom_site_fract_z
_atom_site_occupancy
Er1 Er 0.240 0.706 0.966 1
Tl1 Tl 0.000 0.000 0.000 1
Er2 Er 0.725 0.706 0.966 1
Er3 Er 0.733 0.701 0.467 1
Er4 Er 0.760 0.294 0.034 1
Er5 Er 0.275 0.294 0.034 1
P1 P 0.500 0.500 0.500 1
Er6 Er 0.267 0.299 0.533 1
P2 P 0.000 0.500 0.500 1
Tl2 Tl 0.500 0.000 0.000 1
P3 P 0.500 0.500 0.000 1
Tl3 Tl 0.500 0.000 0.500 1
Tl4 Tl 0.000 0.000 0.500 1
Se1 Se 0.000 0.500 0.000 1
Er7 Er 0.760 0.294 0.520 1
Er8 Er 0.240 0.706 0.480 1
```

Results
The total moment is 0.0 Bohr magnetons per cell. Its crystal system is monoclinic.



The following is a DFT calculation (PBE) of a relaxed Be2TlP crystal.

CIF file:
```
data_Be2TlP
_cell_length_a 3.517
_cell_length_b 4.528
_cell_length_c 4.921
_cell_angle_alpha 90.01
_cell_angle_beta 90.00
_cell_angle_gamma 90.00
_space_group_name_H-M_alt 'P 1'
_space_group_IT_number 1
loop_
_space_group_symop_operation_xyz
'x,y,z'
loop_
_atom_site_label
_atom_site_type_symbol
_atom_site_fract_x
_atom_site_fract_y
_atom_site_fract_z
_atom_site_occupancy
P1 P 0.500 0.250 0.250 1
Tl1 Tl 0.500 0.750 0.750 1
Be1 Be 0.000 0.509 0.250 1
Be2 Be 0.000 0.991 0.250 1
```

Results
The total moment is 0.0 Bohr magnetons per cell. Its crystal system is orthorhombic. The distance to the lowest polymorph of the same formula comes out at 59 meV per atom. Its energy of formation is 0.97 eV/f.u.



The following is a DFT calculation (PBE) of a relaxed LaReW2 crystal.

CIF file:
```
data_LaReW2
_cell_length_a 3.145
_cell_length_b 3.145
_cell_length_c 7.940
_cell_angle_alpha 90.00
_cell_angle_beta 90.00
_cell_angle_gamma 90.00
_space_group_name_H-M_alt 'P 1'
_space_group_IT_number 1
loop_
_space_group_symop_operation_xyz
'x,y,z'
loop_
_atom_site_label
_atom_site_type_symbol
_atom_site_fract_x
_atom_site_fract_y
_atom_site_fract_z
_atom_site_occupancy
La1 La 0.500 0.500 0.250 1
W1 W 0.000 0.000 0.559 1
W2 W 0.000 0.000 0.941 1
Re1 Re 0.500 0.500 0.750 1
```

Results
The total moment is 0.0 Bohr magnetons per cell. Its crystal system is tetragonal. The distance to the lowest polymorph of the same formula comes out at 45 meV per atom. Its energy of formation is 1.91 eV/f.u.



The following is a DFT calculation (PBE) of a relaxed Dy4PtSe2 crystal.

CIF file:
```
data_Dy4PtSe2
_cell_length_a 3.895
_cell_length_b 6.844
_cell_length_c 14.085
_cell_angle_alpha 90.00
_cell_angle_beta 90.00
_cell_angle_gamma 106.53
_space_group_name_H-M_alt 'P 1'
_space_group_IT_number 1
loop_
_space_group_symop_operation_xyz
'x,y,z'
loop_
_atom_site_label
_atom_site_type_symbol
_atom_site_fract_x
_atom_site_fract_y
_atom_site_fract_z
_atom_site_occupancy
Dy1 Dy 0.791 0.582 0.372 1
Pt1 Pt 0.608 0.216 0.750 1
Se1 Se 0.858 0.717 0.565 1
Pt2 Pt 0.392 0.784 0.250 1
Dy2 Dy 0.209 0.418 0.628 1
Dy3 Dy 0.500 0.000 0.500 1
Dy4 Dy 0.049 0.098 0.250 1
Dy5 Dy 0.500 0.000 0.000 1
Dy6 Dy 0.951 0.902 0.750 1
Dy7 Dy 0.791 0.582 0.128 1
Se2 Se 0.858 0.717 0.935 1
Se3 Se 0.142 0.283 0.065 1
Dy8 Dy 0.209 0.418 0.872 1
Se4 Se 0.142 0.283 0.435 1
```

Results
The total moment is 0.0 Bohr magnetons per cell. Its crystal system is orthorhombic.



The following is a DFT calculation (PBE) of a relaxed HoSiHIr crystal.

CIF file:
```
data_HoSiHIr
_cell_length_a 4.033
_cell_length_b 4.033
_cell_length_c 7.137
_cell_angle_alpha 90.00
_cell_angle_beta 90.00
_cell_angle_gamma 90.00
_space_group_name_H-M_alt 'P 1'
_space_group_IT_number 1
loop_
_space_group_symop_operation_xyz
'x,y,z'
loop_
_atom_site_label
_atom_site_type_symbol
_atom_site_fract_x
_atom_site_fract_y
_atom_site_fract_z
_atom_site_occupancy
Ir1 Ir 0.500 0.500 0.000 1
Si1 Si 0.500 0.000 0.185 1
Ir2 Ir 0.000 0.000 0.000 1
Ho1 Ho 0.500 0.000 0.654 1
Si2 Si 0.000 0.500 0.815 1
H1 H 0.000 0.000 0.500 1
H2 H 0.500 0.500 0.500 1
Ho2 Ho 0.000 0.500 0.346 1
```

Results
The total moment is 0.0 Bohr magnetons per cell. Its crystal system is tetragonal.



The following is a DFT calculation (PBE) of a relaxed VTcAg2 crystal.

CIF file:
```
data_VTcAg2
_cell_length_a 3.661
_cell_length_b 3.661
_cell_length_c 10.481
_cell_angle_alpha 79.94
_cell_angle_beta 79.94
_cell_angle_gamma 90.00
_space_group_name_H-M_alt 'P 1'
_space_group_IT_number 1
loop_
_space_group_symop_operation_xyz
'x,y,z'
loop_
_atom_site_label
_atom_site_type_symbol
_atom_site_fract_x
_atom_site_fract_y
_atom_site_fract_z
_atom_site_occupancy
Tc1 Tc 0.000 0.000 0.000 1
Ag1 Ag 0.875 0.875 0.750 1
V1 V 0.250 0.750 0.500 1
V2 V 0.500 0.500 0.000 1
Ag2 Ag 0.125 0.625 0.250 1
Ag3 Ag 0.375 0.375 0.750 1
Ag4 Ag 0.625 0.125 0.250 1
Tc2 Tc 0.750 0.250 0.500 1
```

Results
The total moment is 0.9 Bohr magnetons per cell. Its crystal system is tetragonal. The distance to the lowest polymorph of the same formula comes out at 0 meV per atom. Its energy of formation is 2.78 eV/f.u.



Looking at total DFT energy (no corrections) for the records above, in order, we have -5.090, -3.564, -10.344, -5.861, -6.462, -5.602 eV per atom.